This record from Alexandria describes crystalline Th2ZnNi at its relaxed geometry. The functional is GGA-PBE.

abc: 3.630 3.630 10.338
angles: 79.89 79.89 60.00
Fractional positions:
Ni 0.500 0.500 0.500
Zn 0.000 0.000 0.000
Th 0.107 0.107 0.679
Th 0.893 0.893 0.321

## Properties
The energy above the most stable polymorph in this dataset is 519 meV per atom. The total magnetization comes out at 0.00 Bohr magnetons per cell. As for the energy of formation: 0.240 eV per atom. For the final energy, the calculation gives -20.9 eV per cell.